i.
# NaAs2RhSe

Crystalline NaAs2RhSe at its relaxed geometry (PBE-GGA, Alexandria).

The structure in extended XYZ format:
```
5
Lattice="4.687 0.000 0.000 0.000 4.687 0.000 0.000 0.000 5.588" Properties=species:S:1:pos:R:3 pbc="T T T"
Na 0.000 0.000 0.000
As 0.000 2.344 2.794
As 2.344 0.000 2.794
Rh 2.344 2.344 2.794
Se 2.344 2.344 0.000
```

---

ii.
# NaAs2RhSe

Crystalline NaAs2RhSe at its relaxed geometry (PBE-GGA, Alexandria).

The structure in extended XYZ format:
```
5
Lattice="4.839 0.000 0.000 0.000 4.839 0.000 0.000 0.000 4.907" Properties=species:S:1:pos:R:3 pbc="T T T"
Na 0.000 0.000 0.000
As 0.000 2.419 0.000
As 2.419 0.000 0.000
Rh 2.419 2.419 2.453
Se 0.000 0.000 2.453
```

---

Stability summary - winner: i; margin: 1269 meV/atom.

---

i.
# NaAs2Ru

Crystalline NaAs2Ru at its relaxed geometry (PBE-GGA, Alexandria).

The structure in extended XYZ format:
```
4
Lattice="0.000 3.181 3.181 3.181 0.000 3.181 3.181 3.181 0.000" Properties=species:S:1:pos:R:3 pbc="T T T"
Na 0.000 0.000 0.000
As 1.590 1.590 1.590
As 4.771 4.771 4.771
Ru 3.181 3.181 3.181
```

---

ii.
# NaAs2Ru

Crystalline NaAs2Ru at its relaxed geometry (PBE-GGA, Alexandria).

The structure in extended XYZ format:
```
4
Lattice="1.663 0.960 8.081 -1.663 0.960 8.081 0.000 -1.920 8.081" Properties=species:S:1:pos:R:3 pbc="T T T"
Na 0.000 0.000 0.000
As 0.000 0.000 5.690
As 0.000 0.000 18.553
Ru 0.000 0.000 12.121
```

---

Stability summary - winner: ii; margin: 123 meV/atom.

---

i.
# NaAs2RuSe

Crystalline NaAs2RuSe at its relaxed geometry (PBE-GGA, Alexandria).

The structure in extended XYZ format:
```
5
Lattice="4.656 0.000 0.000 0.000 4.656 0.000 0.000 0.000 5.706" Properties=species:S:1:pos:R:3 pbc="T T T"
Na 0.000 0.000 0.000
As 0.000 2.328 2.853
As 2.328 0.000 2.853
Ru 2.328 2.328 2.853
Se 2.328 2.328 0.000
```

---

ii.
# NaAs2RuSe

Crystalline NaAs2RuSe at its relaxed geometry (PBE-GGA, Alexandria).

The structure in extended XYZ format:
```
5
Lattice="4.911 0.000 0.000 0.000 4.911 0.000 0.000 0.000 4.905" Properties=species:S:1:pos:R:3 pbc="T T T"
Na 0.000 0.000 0.000
As 0.000 2.455 0.000
As 2.455 0.000 0.000
Ru 2.455 2.455 2.452
Se 0.000 0.000 2.452
```

---

Stability summary - winner: i; margin: 1419 meV/atom.

---

i.
# Na2AsS

Crystalline Na2AsS at its relaxed geometry (PBE-GGA, Alexandria).

The structure in extended XYZ format:
```
8
Lattice="-4.024 4.024 2.701 4.024 -4.024 2.701 4.024 4.024 -2.701" Properties=species:S:1:pos:R:3 pbc="T T T"
Na 6.036 1.690 -0.675
Na 1.690 2.012 0.675
Na -2.012 2.334 2.026
Na 2.334 2.012 3.376
As 4.024 0.000 1.351
As 0.000 0.000 2.701
S 0.000 0.000 0.000
S 0.000 4.024 1.351
```

---

ii.
# Na2AsS

Crystalline Na2AsS at its relaxed geometry (PBE-GGA, Alexandria).

The structure in extended XYZ format:
```
4
Lattice="0.000 3.466 3.466 3.466 0.000 3.466 3.466 3.466 0.000" Properties=species:S:1:pos:R:3 pbc="T T T"
Na 1.733 1.733 1.733
Na 5.198 5.198 5.198
As 0.000 0.000 0.000
S 3.466 3.466 3.466
```

---

Stability summary - winner: i; margin: 96 meV/atom.

---

i.
# NaAs3S

Crystalline NaAs3S at its relaxed geometry (PBE-GGA, Alexandria).

The structure in extended XYZ format:
```
5
Lattice="4.919 0.000 0.000 0.000 4.919 0.000 0.000 0.000 4.919" Properties=species:S:1:pos:R:3 pbc="T T T"
Na 0.000 0.000 0.000
As 0.000 2.459 2.459
As 2.459 0.000 2.459
As 2.459 2.459 0.000
S 2.459 2.459 2.459
```

---

ii.
# NaAs3S

Crystalline NaAs3S at its relaxed geometry (PBE-GGA, Alexandria).

The structure in extended XYZ format:
```
5
Lattice="4.983 0.000 0.000 0.000 4.983 0.000 0.000 0.000 4.983" Properties=species:S:1:pos:R:3 pbc="T T T"
Na 0.000 0.000 0.000
As 0.000 0.000 2.492
As 0.000 2.492 0.000
As 2.492 0.000 0.000
S 2.492 2.492 2.492
```

---

Stability summary - winner: i; margin: 935 meV/atom.

---

i.
# NaAsSe2S

Crystalline NaAsSe2S at its relaxed geometry (PBE-GGA, Alexandria).

The structure in extended XYZ format:
```
5
Lattice="4.977 0.000 0.000 0.000 4.977 0.000 0.000 0.000 5.350" Properties=species:S:1:pos:R:3 pbc="T T T"
Na 0.000 0.000 0.000
As 0.000 0.000 2.675
Se 0.000 2.488 0.000
Se 2.488 0.000 0.000
S 2.488 2.488 2.675
```

---

ii.
# NaAsSe2S

Crystalline NaAsSe2S at its relaxed geometry (PBE-GGA, Alexandria).

The structure in extended XYZ format:
```
5
Lattice="5.016 0.000 0.000 0.000 5.016 0.000 0.000 0.000 4.890" Properties=species:S:1:pos:R:3 pbc="T T T"
Na 0.000 0.000 0.000
As 2.508 2.508 0.000
Se 0.000 2.508 2.445
Se 2.508 0.000 2.445
S 2.508 2.508 2.445
```

---

Stability summary - winner: ii; margin: 975 meV/atom.

---

i.
# Na2SbAs

Crystalline Na2SbAs at its relaxed geometry (PBE-GGA, Alexandria).

The structure in extended XYZ format:
```
4
Lattice="4.424 0.000 0.000 0.000 4.424 0.000 0.000 0.000 4.774" Properties=species:S:1:pos:R:3 pbc="T T T"
Na 0.000 2.212 0.000
Na 2.212 0.000 0.000
Sb 0.000 0.000 2.387
As 2.212 2.212 2.387
```

---

ii.
# Na2SbAs

Crystalline Na2SbAs at its relaxed geometry (PBE-GGA, Alexandria).

The structure in extended XYZ format:
```
4
Lattice="3.182 0.000 0.000 0.000 3.182 0.000 0.000 0.000 9.346" Properties=species:S:1:pos:R:3 pbc="T T T"
Na 0.000 0.000 2.123
Na 0.000 0.000 7.223
Sb 1.591 1.591 4.673
As 1.591 1.591 0.000
```

---

Stability summary - winner: i; margin: 12 meV/atom.

---

i.
# Na2SbAs

Crystalline Na2SbAs at its relaxed geometry (PBE-GGA, Alexandria).

The structure in extended XYZ format:
```
8
Lattice="3.905 0.000 0.000 0.000 9.478 0.000 -0.006 0.000 5.924" Properties=species:S:1:pos:R:3 pbc="T T T"
Na 0.971 0.355 1.541
Na 0.971 4.384 1.541
Na 2.927 5.094 4.384
Na 2.927 9.123 4.384
Sb 0.974 2.370 4.844
Sb 2.925 7.109 1.080
As 0.972 7.109 2.967
As 2.926 2.370 2.958
```

---

ii.
# Na2SbAs

Crystalline Na2SbAs at its relaxed geometry (PBE-GGA, Alexandria).

The structure in extended XYZ format:
```
4
Lattice="0.000 3.635 3.635 3.635 0.000 3.635 3.635 3.635 0.000" Properties=species:S:1:pos:R:3 pbc="T T T"
Na 1.817 1.817 1.817
Na 5.452 5.452 5.452
Sb 0.000 0.000 0.000
As 3.635 3.635 3.635
```

---

iii.
# Na2SbAs

Crystalline Na2SbAs at its relaxed geometry (PBE-GGA, Alexandria).

The structure in extended XYZ format:
```
16
Lattice="6.817 0.000 0.000 0.000 6.209 0.000 0.000 0.000 10.881" Properties=species:S:1:pos:R:3 pbc="T T T"
Na 0.614 1.373 0.963
Na 0.614 1.732 4.478
Na 2.795 4.477 4.478
Na 2.795 4.837 0.963
Na 4.022 1.373 9.918
Na 4.022 1.732 6.403
Na 6.203 4.477 6.403
Na 6.203 4.837 9.918
Sb 0.089 1.552 8.161
Sb 3.320 4.657 8.161
Sb 3.497 1.552 2.720
Sb 6.728 4.657 2.720
As 1.704 0.000 6.711
As 1.704 3.105 9.611
As 5.113 0.000 4.171
As 5.113 3.105 1.270
```

---

Stability summary - winner: i; margin: 33 meV/atom.

---

i.
# Na2SbAs

Crystalline Na2SbAs at its relaxed geometry (PBE-GGA, Alexandria).

The structure in extended XYZ format:
```
8
Lattice="-4.361 4.361 2.820 4.361 -4.361 2.820 4.361 4.361 -2.820" Properties=species:S:1:pos:R:3 pbc="T T T"
Na 6.541 1.818 -0.705
Na 1.818 2.180 0.705
Na -2.180 2.543 2.115
Na 2.543 2.180 3.525
Sb 4.361 0.000 1.410
Sb 0.000 0.000 2.820
As 0.000 0.000 0.000
As 0.000 4.361 1.410
```

---

ii.
# Na2SbAs

Crystalline Na2SbAs at its relaxed geometry (PBE-GGA, Alexandria).

The structure in extended XYZ format:
```
16
Lattice="6.578 0.000 0.000 0.000 6.196 0.000 -5.533 0.000 10.781" Properties=species:S:1:pos:R:3 pbc="T T T"
Na 1.209 1.054 0.357
Na -1.558 2.044 5.747
Na -3.015 3.739 9.015
Na -0.248 5.555 3.624
Na 1.293 0.641 7.157
Na 4.060 2.457 1.766
Na 2.603 4.152 5.034
Na -0.164 5.143 10.425
Sb -2.334 0.588 8.535
Sb 0.433 2.511 3.144
Sb 0.612 3.686 7.637
Sb 3.378 5.609 2.246
As 1.393 4.134 1.191
As -1.374 5.160 6.582
As 2.419 1.036 4.200
As -0.348 2.062 9.590
```

---

Stability summary - winner: ii; margin: 276 meV/atom.

---

i.
# NaSb3As

Crystalline NaSb3As at its relaxed geometry (PBE-GGA, Alexandria).

The structure in extended XYZ format:
```
5
Lattice="5.486 0.000 0.000 0.000 5.486 0.000 0.000 0.000 5.486" Properties=species:S:1:pos:R:3 pbc="T T T"
Na 0.000 0.000 0.000
Sb 0.000 2.743 2.743
Sb 2.743 0.000 2.743
Sb 2.743 2.743 0.000
As 2.743 2.743 2.743
```

---

ii.
# NaSb3As

Crystalline NaSb3As at its relaxed geometry (PBE-GGA, Alexandria).

The structure in extended XYZ format:
```
5
Lattice="5.329 0.000 0.000 0.000 5.329 0.000 0.000 0.000 5.329" Properties=species:S:1:pos:R:3 pbc="T T T"
Na 0.000 0.000 0.000
Sb 0.000 0.000 2.665
Sb 0.000 2.665 0.000
Sb 2.665 0.000 0.000
As 2.665 2.665 2.665
```

---

Stability summary - winner: i; margin: 639 meV/atom.

---

i.
# Na3SbAs

Crystalline Na3SbAs at its relaxed geometry (PBE-GGA, Alexandria).

The structure in extended XYZ format:
```
20
Lattice="7.335 0.000 0.000 0.000 7.213 0.000 -1.789 0.000 10.172" Properties=species:S:1:pos:R:3 pbc="T T T"
Na -0.144 1.102 4.145
Na -1.039 2.505 9.231
Na 0.398 3.741 6.380
Na 1.293 7.077 1.294
Na 1.152 0.112 7.541
Na 2.047 3.494 2.455
Na 3.499 3.718 7.717
Na 4.394 7.100 2.631
Na 4.253 0.135 8.877
Na 5.148 3.471 3.791
Na 6.585 4.708 0.941
Na 5.690 6.111 6.027
Sb 1.740 5.095 10.085
Sb 2.635 5.723 5.000
Sb 2.911 1.489 5.172
Sb 3.806 2.117 0.086
As -0.655 5.398 8.857
As 0.239 5.421 3.771
As 5.307 1.792 6.401
As 6.201 1.814 1.315
```

---

ii.
# Na3SbAs

Crystalline Na3SbAs at its relaxed geometry (PBE-GGA, Alexandria).

The structure in extended XYZ format:
```
5
Lattice="5.893 0.000 0.000 0.000 5.893 0.000 0.000 0.000 5.893" Properties=species:S:1:pos:R:3 pbc="T T T"
Na 0.000 0.000 2.946
Na 0.000 2.946 0.000
Na 2.946 0.000 0.000
Sb 0.000 0.000 0.000
As 2.946 2.946 2.946
```

---

iii.
# Na3SbAs

Crystalline Na3SbAs at its relaxed geometry (PBE-GGA, Alexandria).

The structure in extended XYZ format:
```
10
Lattice="-5.089 3.881 3.920 5.089 -3.881 3.920 5.089 3.881 -3.920" Properties=species:S:1:pos:R:3 pbc="T T T"
Na 0.258 1.597 0.000
Na 4.831 1.597 0.000
Na 2.544 -0.354 5.238
Na 2.544 4.235 1.317
Na 0.258 2.284 3.920
Na 4.831 2.284 3.920
Sb 2.544 2.838 -1.708
Sb 2.544 1.043 2.212
As 7.633 0.718 0.301
As -2.544 3.163 4.221
```

---

Stability summary - winner: i; margin: 94 meV/atom.

---

i.
# Na2SbAs2

Crystalline Na2SbAs2 at its relaxed geometry (PBE-GGA, Alexandria).

The structure in extended XYZ format:
```
10
Lattice="8.512 0.000 0.000 0.000 8.512 0.000 0.000 0.000 3.146" Properties=species:S:1:pos:R:3 pbc="T T T"
Na 1.024 3.232 0.000
Na 3.232 7.488 0.000
Na 5.280 1.024 0.000
Na 7.488 5.280 0.000
Sb 0.000 0.000 1.573
Sb 4.256 4.256 1.573
As 1.539 5.795 1.573
As 2.717 1.539 1.573
As 5.795 6.973 1.573
As 6.973 2.717 1.573
```

---

ii.
# Na2SbAs2

Crystalline Na2SbAs2 at its relaxed geometry (PBE-GGA, Alexandria).

The structure in extended XYZ format:
```
5
Lattice="-2.305 2.305 5.878 2.305 -2.305 5.878 2.305 2.305 -5.878" Properties=species:S:1:pos:R:3 pbc="T T T"
Na 2.305 0.000 2.939
Na 0.000 2.305 2.939
Sb 0.000 0.000 0.000
As 0.000 0.000 4.711
As 0.000 0.000 7.045
```

---

Stability summary - winner: i; margin: 176 meV/atom.